Computed, not measured: TiTeCl3 after structural relaxation at the GGA-PBE level of DFT.

Properties
* ΔE to the lowest computed polymorph: 25.31 kcal/mol of atoms
* uncorrected formation energy: 48.5 kJ per mole of atoms

```
data_TiTeCl3
_space_group_name_H-M_alt 'P 1'
_space_group_IT_number 1
_cell_length_a 5.483
_cell_length_b 5.483
_cell_length_c 5.483
_cell_angle_alpha 90.00
_cell_angle_beta 90.00
_cell_angle_gamma 90.00
loop_
_space_group_symop_operation_xyz
'x,y,z'
loop_
_atom_site_label
_atom_site_type_symbol
_atom_site_fract_x
_atom_site_fract_y
_atom_site_fract_z
_atom_site_occupancy
Ti1 Ti 0.000 0.000 0.000 1
Te1 Te 0.500 0.500 0.500 1
Cl1 Cl 0.000 0.500 0.500 1
Cl2 Cl 0.500 0.000 0.500 1
Cl3 Cl 0.500 0.500 0.000 1
```